# Tm2MnVO6 (PBE+U, relaxed)
# Density = 7240 kg/m3
# E_tot = -8.119 eV per atom
# Magnetization = 6.00 Bohr magnetons per cell
# Space-group type = P1 (1)
data_Tm2MnVO6
_cell_length_a 5.442
_cell_length_b 5.480
_cell_length_c 5.710
_cell_angle_alpha 61.42
_cell_angle_beta 62.09
_cell_angle_gamma 60.29
_symmetry_space_group_name_H-M 'P 1'
_symmetry_Int_Tables_number 1
loop_
_symmetry_equiv_pos_as_xyz
'x,y,z'
loop_
_atom_site_label
_atom_site_type_symbol
_atom_site_fract_x
_atom_site_fract_y
_atom_site_fract_z
_atom_site_occupancy
V1 V 0.319 0.318 0.050 1
O1 O 0.962 0.586 0.249 1
O2 O 0.123 0.426 0.775 1
O3 O 0.574 0.211 0.241 1
O4 O 0.432 0.687 0.762 1
O5 O 0.197 0.962 0.253 1
Tm1 Tm 0.531 0.531 0.415 1
Tm2 Tm 0.030 0.019 0.923 1
Mn1 Mn 0.812 0.804 0.581 1
O6 O 0.683 0.116 0.768 1